The following is a DFT calculation (PBE with a Hubbard U) of a relaxed structure of ScCrAs2O.

It has space group P4/mmm (No. 123), with a = 4.4505 Å, b = 4.4505 Å, c = 5.2844 Å, α = 90.00°, β = 90.00° and γ = 90.00°. Symmetry generates all atoms from Sc at (0.0000, 0.0000, 0.0000), Cr at (0.0000, 0.0000, 0.5000), As at (0.0000, 0.5000, 0.5000) and O at (0.5000, 0.5000, 0.0000).

The total energy is -25.4 eV per formula unit. The value obtained for the density of states at the Fermi level is 2.47 states/eV per cell.